This record from Alexandria describes a relaxed structure of WSF3. The functional is PBE+U.

Output
* electronic total energy: -4.762 eV/atom
* space-group type: Pm-3m (221)
* E above lowest polymorph: 0.0 kJ per mole of atoms
* DOS(E_F): 5.4 states/eV per cell

```
5
Lattice="4.296 0.000 0.000 0.000 4.296 0.000 0.000 0.000 4.296" Properties=species:S:1:pos:R:3 pbc="T T T"
W 0.000 0.000 0.000
S 2.148 2.148 2.148
F 0.000 0.000 2.148
F 0.000 2.148 0.000
F 2.148 0.000 0.000
```